Record 1
{"formula": "Ag2IO", "functional": "GGA-PBE", "state": "relaxed", "lattice": [[0.000, 3.398, 3.398], [3.398, 0.000, 3.398], [3.398, 3.398, 0.000]], "species": ["I", "O", "Ag", "Ag"], "fractional_positions": [[0.500, 0.500, 0.500], [0.000, 0.000, 0.000], [0.250, 0.250, 0.250], [0.750, 0.750, 0.750]], "de_polymorph_ev_per_atom": 0.393, "spacegroup": "Fm-3m", "e_form_raw_kj_per_mol_atoms": 37.77, "crystal_system": "cubic"}


Record 2
{"formula": "Pu2Ga5Ir3", "functional": "GGA-PBE", "state": "relaxed", "lattice": [[5.736, 0.000, 0.000], [2.868, 8.124, 0.359], [2.868, 1.608, 7.972]], "species": ["Pu", "Pu", "Pu", "Pu", "Ga", "Ga", "Ga", "Ga", "Ga", "Ga", "Ga", "Ga", "Ga", "Ga", "Ir", "Ir", "Ir", "Ir", "Ir", "Ir"], "fractional_positions": [[0.150, 0.573, 0.127], [0.650, 0.127, 0.573], [0.850, 0.427, 0.873], [0.350, 0.873, 0.427], [0.420, 0.259, 0.902], [0.920, 0.902, 0.259], [0.580, 0.741, 0.098], [0.080, 0.098, 0.741], [0.450, 0.800, 0.800], [0.550, 0.200, 0.200], [0.750, 0.500, 0.500], [0.250, 0.500, 0.500], [0.050, 0.200, 0.200], [0.950, 0.800, 0.800], [0.347, 0.560, 0.746], [0.847, 0.746, 0.560], [0.653, 0.440, 0.254], [0.153, 0.254, 0.440], [0.250, 0.000, 0.000], [0.750, 0.000, 0.000]], "de_polymorph_ev_per_atom": 0.000, "ef_ev_per_atom": -0.547, "spacegroup": "Ibam", "crystal_system": "orthorhombic"}


Record 3
{"formula": "ZnFeHg2", "functional": "GGA-PBE", "state": "relaxed", "lattice": [[4.831, 0.001, 0.003], [3.879, 2.880, 0.003], [1.030, 0.341, 5.304]], "species": ["Fe", "Hg", "Hg", "Zn"], "fractional_positions": [[0.250, 0.250, 0.250], [0.997, 0.997, 0.006], [0.503, 0.503, 0.494], [0.750, 0.750, 0.750]], "ef_ev_per_atom": 0.392, "spacegroup": "C2/m", "crystal_system": "monoclinic"}


Record 4
{"formula": "Gd4Tl2H", "functional": "GGA-PBE", "state": "relaxed", "lattice": [[-0.072, -2.388, 3.931], [-3.580, -2.440, -1.547], [3.657, -8.266, -2.263]], "species": ["H", "Tl", "Tl", "Gd", "Gd", "Gd", "Gd"], "fractional_positions": [[0.000, 0.000, 0.000], [0.857, 0.857, 0.286], [0.143, 0.143, 0.714], [0.676, 0.676, 0.648], [0.324, 0.324, 0.352], [0.000, 0.500, 0.000], [0.500, 0.000, 0.000]], "spacegroup": "I4/mmm", "final_energy_ev_per_cell": -66.122, "crystal_system": "tetragonal"}


Number 1: magnetization 0.25 μB per atom, D(E_F) 3.4 states/eV/cell. Number 2: magnetization 1.02 μB per atom, D(E_F) 49.3 states/eV/cell. Number 3: magnetization 0.70 μB per atom, D(E_F) 2.7 states/eV/cell. Number 4: magnetization 0.03 μB per atom, D(E_F) 7.9 states/eV/cell.